{
  "formula": "AgSbTe",
  "functional": "GGA-PBE",
  "state": "optimized geometry",
  "crystal_system": "hexagonal",
  "final_energy_ev_per_atom": -3.196,
  "volume_a3_per_atom": 26.99,
  "formation_energy_uncorrected_ev_per_atom": 0.176,
  "e_above_lowest_polymorph_ev_per_atom": 0.192,
  "dos_at_fermi_per_ev_fu": 1.094,
  "cell": [[5.5279, 0.0000, 0.0000], [-2.7640, 4.7873, 0.0000], [0.0000, 0.0000, 3.0593]],
  "species": ["Ag", "Sb", "Te"],
  "fractional_positions": [[0.0000, 0.0000, 0.6661], [0.3333, 0.6667, 0.6667], [0.6667, 0.3333, 0.6672]]
}

{
  "formula": "Ag2SbTe",
  "functional": "GGA-PBE",
  "state": "optimized geometry",
  "crystal_system": "orthorhombic",
  "final_energy_ev_per_atom": -3.051,
  "volume_a3_per_atom": 23.72,
  "formation_energy_uncorrected_ev_per_atom": 0.191,
  "e_above_lowest_polymorph_ev_per_atom": 0.161,
  "dos_at_fermi_per_ev_fu": 1.478,
  "cell": [[3.3327, 0.0661, 0.0000], [-0.5137, 3.2936, 0.0000], [0.0000, 0.0000, 8.6163]],
  "species": ["Sb", "Ag", "Te", "Ag"],
  "fractional_positions": [[0.5000, 0.5000, 0.2500], [0.0000, 0.0000, 0.4896], [0.5000, 0.5000, 0.7500], [0.0000, 0.0000, 0.0104]]
}

{
  "formula": "Ag4SbTe2",
  "functional": "GGA-PBE",
  "state": "optimized geometry",
  "crystal_system": "triclinic",
  "final_energy_ev_per_atom": -3.074,
  "volume_a3_per_atom": 25.52,
  "formation_energy_uncorrected_ev_per_atom": 0.042,
  "dos_at_fermi_per_ev_fu": 2.316,
  "cell": [[-3.1908, 8.2931, -0.9708], [-3.3299, -2.1153, 7.5478], [8.4196, -1.7993, -3.0071]],
  "species": ["Ag", "Ag", "Te", "Sb", "Ag", "Sb", "Ag", "Ag", "Ag", "Te", "Ag", "Ag", "Te", "Te"],
  "fractional_positions": [[0.1235, 0.3779, 0.5184], [0.3380, 0.1846, 0.2139], [0.9906, 0.0869, 0.5552], [0.3090, 0.6496, 0.4824], [0.6208, 0.8911, 0.0198], [0.9035, 0.0532, 0.9743], [0.3939, 0.4922, 0.1717], [0.9124, 0.5903, 0.2197], [0.7234, 0.1020, 0.6679], [0.5923, 0.4011, 0.7355], [0.9393, 0.6708, 0.8369], [0.3722, 0.1168, 0.7473], [0.3368, 0.7489, 0.0677], [0.6944, 0.3846, 0.2893]]
}

{
  "formula": "Ag4SbTe4",
  "functional": "GGA-PBE",
  "state": "optimized geometry",
  "crystal_system": "monoclinic",
  "final_energy_ev_per_atom": -3.146,
  "volume_a3_per_atom": 29.38,
  "formation_energy_uncorrected_ev_per_atom": -0.024,
  "dos_at_fermi_per_ev_fu": 3.437,
  "cell": [[-2.1687, 1.1526, 3.4973], [-4.7736, -5.5243, 1.4716], [4.7287, -3.5345, 6.7081]],
  "species": ["Te", "Ag", "Sb", "Ag", "Te", "Te", "Te", "Ag", "Ag"],
  "fractional_positions": [[0.7606, 0.7812, 0.6975], [0.1687, 0.0590, 0.6035], [0.5000, 0.0000, 0.0000], [0.6772, 0.4532, 0.1924], [0.0711, 0.7236, 0.1342], [0.2394, 0.2188, 0.3025], [0.9289, 0.2764, 0.8658], [0.3228, 0.5468, 0.8076], [0.8313, 0.9410, 0.3965]]
}

{
  "formula": "Ag2SbTe",
  "functional": "GGA-PBE",
  "state": "optimized geometry",
  "crystal_system": "cubic",
  "final_energy_ev_per_atom": -2.974,
  "volume_a3_per_atom": 23.54,
  "formation_energy_uncorrected_ev_per_atom": 0.267,
  "e_above_lowest_polymorph_ev_per_atom": 0.237,
  "dos_at_fermi_per_ev_fu": 3.172,
  "cell": [[0.0000, 3.6109, 3.6109], [3.6109, 0.0000, 3.6109], [3.6109, 3.6109, 0.0000]],
  "species": ["Ag", "Sb", "Te", "Ag"],
  "fractional_positions": [[0.2500, 0.2500, 0.2500], [0.0000, 0.0000, 0.0000], [0.5000, 0.5000, 0.5000], [0.7500, 0.7500, 0.7500]]
}

{
  "formula": "Ag2SbTe2",
  "functional": "GGA-PBE",
  "state": "optimized geometry",
  "crystal_system": "tetragonal",
  "final_energy_ev_per_atom": -3.087,
  "volume_a3_per_atom": 26.25,
  "formation_energy_uncorrected_ev_per_atom": 0.135,
  "e_above_lowest_polymorph_ev_per_atom": 0.134,
  "dos_at_fermi_per_ev_fu": 1.841,
  "cell": [[-7.1913, 1.0657, 4.1148], [1.2425, -7.2065, 4.0379], [1.8308, 1.8412, 2.7227]],
  "species": ["Ag", "Sb", "Te", "Ag", "Te", "Sb", "Ag", "Te", "Ag", "Te"],
  "fractional_positions": [[0.3791, 0.1209, 0.5000], [0.5000, 0.5000, 0.0000], [0.3167, 0.8167, 0.0000], [0.6209, 0.8791, 0.5000], [0.6833, 0.1833, 0.0000], [0.0000, 0.0000, 0.0000], [0.8791, 0.3791, 0.5000], [0.1833, 0.3167, 0.0000], [0.1209, 0.6209, 0.5000], [0.8167, 0.6833, 0.0000]]
}

{
  "formula": "AgSbTe",
  "functional": "GGA-PBE",
  "state": "optimized geometry",
  "crystal_system": "monoclinic",
  "final_energy_ev_per_atom": -3.369,
  "volume_a3_per_atom": 27.68,
  "formation_energy_uncorrected_ev_per_atom": 0.003,
  "e_above_lowest_polymorph_ev_per_atom": 0.020,
  "dos_at_fermi_per_ev_fu": 0.855,
  "cell": [[4.1359, 0.0000, 0.0000], [2.0680, 6.2634, -1.1783], [2.0680, -0.1334, 6.4370]],
  "species": ["Te", "Sb", "Sb", "Te", "Ag", "Ag"],
  "fractional_positions": [[0.7146, 0.6956, 0.8752], [0.3031, 0.8145, 0.5793], [0.6969, 0.1855, 0.4207], [0.2854, 0.3044, 0.1248], [0.0068, 0.7502, 0.2363], [0.9932, 0.2498, 0.7637]]
}

{
  "formula": "Ag2SbTe",
  "functional": "GGA-PBE",
  "state": "optimized geometry",
  "crystal_system": "orthorhombic",
  "final_energy_ev_per_atom": -3.119,
  "volume_a3_per_atom": 24.77,
  "formation_energy_uncorrected_ev_per_atom": 0.122,
  "e_above_lowest_polymorph_ev_per_atom": 0.092,
  "dos_at_fermi_per_ev_fu": 1.057,
  "cell": [[-3.4356, -5.6866, 0.7257], [-1.5431, -4.5989, -4.5974], [4.7959, 3.6840, 2.8452]],
  "species": ["Sb", "Ag", "Ag", "Te"],
  "fractional_positions": [[0.4838, 0.4838, 0.0000], [0.6961, 0.1961, 0.5000], [0.0376, 0.0376, 0.0000], [0.2825, 0.7825, 0.5000]]
}